{
  "formula": "RbAcHg2S4",
  "functional": "GGA-PBE",
  "state": "optimized geometry",
  "total_energy_ev_per_atom": -3.707,
  "magmom_total_mub_per_fu": 0.0,
  "rho_g_cm3": 5.566,
  "e_form_raw_ev_per_atom": -0.93,
  "cell": [[-1.539, 6.691, 2.337], [-6.295, 2.760, -0.794], [-2.793, 1.112, 6.232]],
  "species": ["Rb", "Ac", "Hg", "Hg", "S", "S", "S", "S"],
  "frac_coords": [[0.000, 0.000, 0.000], [0.500, 0.500, 0.500], [0.196, 0.304, 0.304], [0.804, 0.696, 0.696], [0.452, 0.111, 0.488], [0.051, 0.889, 0.512], [0.949, 0.488, 0.111], [0.548, 0.512, 0.889]]
}

{
  "formula": "KCdW2",
  "functional": "GGA-PBE",
  "state": "optimized geometry",
  "ef_kj_per_mol_atoms": 153.7,
  "total_energy_ev_per_atom": -5.387,
  "magmom_total_mub_per_fu": 0.0,
  "rho_g_cm3": 10.381,
  "cell": [[5.356, 0.000, 0.000], [0.000, 3.938, 0.000], [0.000, 0.000, 3.938]],
  "species": ["Cd", "K", "W", "W"],
  "frac_coords": [[0.500, 0.500, 0.000], [0.500, 0.000, 0.500], [0.000, 0.000, 0.000], [0.000, 0.500, 0.500]]
}

{
  "formula": "TbFe2Cl8",
  "functional": "GGA-PBE",
  "state": "optimized geometry",
  "total_energy_ev_per_atom": -4.581,
  "magmom_total_mub_per_fu": 9.0,
  "rho_g_cm3": 2.487,
  "e_above_lowest_polymorph_ev_per_atom": 0.000,
  "e_form_raw_ev_per_atom": -1.28,
  "cell": [[-1.654, -4.666, -3.950], [6.428, 0.806, -4.508], [5.659, -4.883, 2.534]],
  "species": ["Tb", "Fe", "Fe", "Cl", "Cl", "Cl", "Cl", "Cl", "Cl", "Cl", "Cl"],
  "frac_coords": [[0.000, 0.000, 0.000], [0.639, 0.812, 0.812], [0.361, 0.188, 0.188], [0.234, 0.289, 0.902], [0.766, 0.098, 0.711], [0.277, 0.830, 0.830], [0.723, 0.170, 0.170], [0.234, 0.902, 0.289], [0.766, 0.711, 0.098], [0.761, 0.652, 0.652], [0.239, 0.348, 0.348]]
}

{
  "formula": "Nd2TlGa",
  "functional": "GGA-PBE",
  "state": "optimized geometry",
  "ef_kj_per_mol_atoms": -42.6,
  "total_energy_ev_per_atom": -4.174,
  "magmom_total_mub_per_fu": 0.0,
  "rho_g_cm3": 8.436,
  "e_above_lowest_polymorph_ev_per_atom": 0.029,
  "cell": [[-1.457, 1.225, -5.043], [-0.032, -3.823, -3.800], [-4.683, -1.806, -1.966]],
  "species": ["Tl", "Nd", "Nd", "Ga"],
  "frac_coords": [[0.000, 0.000, 0.000], [0.250, 0.250, 0.250], [0.750, 0.750, 0.750], [0.500, 0.500, 0.500]]
}

{
  "formula": "Rb3Ni2I9",
  "functional": "GGA-PBE",
  "state": "optimized geometry",
  "total_energy_ev_per_atom": -2.671,
  "magmom_total_mub_per_fu": 2.1,
  "rho_g_cm3": 4.283,
  "e_form_raw_ev_per_atom": -0.64,
  "cell": [[-8.849, -5.626, 2.948], [2.036, -3.481, 10.119], [-5.615, 6.672, 6.528]],
  "species": ["Rb", "Rb", "Rb", "Rb", "Rb", "Rb", "Ni", "Ni", "Ni", "Ni", "I", "I", "I", "I", "I", "I", "I", "I", "I", "I", "I", "I", "I", "I", "I", "I", "I", "I"],
  "frac_coords": [[0.413, 0.750, 0.087], [0.250, 0.913, 0.587], [0.913, 0.587, 0.250], [0.087, 0.413, 0.750], [0.750, 0.087, 0.413], [0.587, 0.250, 0.913], [0.176, 0.176, 0.176], [0.676, 0.676, 0.676], [0.824, 0.824, 0.824], [0.324, 0.324, 0.324], [0.722, 0.884, 0.058], [0.116, 0.942, 0.278], [0.250, 0.408, 0.092], [0.616, 0.778, 0.442], [0.592, 0.908, 0.750], [0.908, 0.750, 0.592], [0.222, 0.558, 0.384], [0.558, 0.384, 0.222], [0.942, 0.278, 0.116], [0.058, 0.722, 0.884], [0.442, 0.616, 0.778], [0.408, 0.092, 0.250], [0.778, 0.442, 0.616], [0.092, 0.250, 0.408], [0.384, 0.222, 0.558], [0.750, 0.592, 0.908], [0.884, 0.058, 0.722], [0.278, 0.116, 0.942]]
}

{
  "formula": "SrTaZn",
  "functional": "GGA-PBE",
  "state": "optimized geometry",
  "ef_kj_per_mol_atoms": 47.5,
  "total_energy_ev_per_atom": -4.444,
  "magmom_total_mub_per_fu": 0.0,
  "rho_g_cm3": 8.263,
  "e_above_lowest_polymorph_ev_per_atom": 0.000,
  "cell": [[7.296, 0.016, -0.017], [6.628, 3.049, -0.020], [0.668, 0.150, 3.030]],
  "species": ["Sr", "Ta", "Zn"],
  "frac_coords": [[0.007, 0.007, 0.993], [0.308, 0.308, 0.692], [0.686, 0.686, 0.314]]
}

{
  "formula": "Ga2GePbO6",
  "functional": "GGA-PBE",
  "state": "optimized geometry",
  "total_energy_ev_per_atom": -6.030,
  "magmom_total_mub_per_fu": 0.0,
  "rho_g_cm3": 5.918,
  "e_form_raw_ev_per_atom": -1.62,
  "cell": [[-5.872, -0.796, -1.850], [-1.488, -6.997, 1.333], [-4.039, 3.581, 4.879]],
  "species": ["Ga", "Ga", "Ga", "Ga", "Ge", "Ge", "Pb", "Pb", "O", "O", "O", "O", "O", "O", "O", "O", "O", "O", "O", "O"],
  "frac_coords": [[0.346, 0.704, 0.550], [0.154, 0.450, 0.296], [0.654, 0.296, 0.450], [0.846, 0.550, 0.704], [0.250, 0.199, 0.801], [0.750, 0.801, 0.199], [0.250, 0.897, 0.103], [0.750, 0.103, 0.897], [0.206, 0.959, 0.774], [0.294, 0.226, 0.041], [0.794, 0.041, 0.226], [0.706, 0.774, 0.959], [0.471, 0.824, 0.358], [0.029, 0.642, 0.176], [0.529, 0.176, 0.642], [0.971, 0.358, 0.824], [0.040, 0.676, 0.570], [0.460, 0.430, 0.324], [0.960, 0.324, 0.430], [0.540, 0.570, 0.676]]
}

What is the formula in the first record? RbAcHg2S4